Entry 1:
The following is a PBE calculation of an optimized crystal structure of TaV2NiN, from Alexandria.

Cell: 3.855 3.855 4.247 Å, 90.00 90.00 90.00°
Positions (direct):
Ni (0.500, 0.500, 0.500)
V (0.500, 0.000, 0.000)
N (0.000, 0.000, 0.000)
Ta (0.000, 0.000, 0.500)
V (0.000, 0.500, 0.000)

Summary:
* symmetry: P4/mmm (123)



Entry 2:
The following is a PBE calculation of an optimized crystal structure of CsCa2TlP, from Alexandria.

Cell: 5.965 5.792 5.965 Å, 90.00 90.00 90.00°
Positions (direct):
Ca (0.000, 0.000, 0.500)
Cs (0.500, 0.500, 0.500)
P (0.000, 0.500, 0.000)
Tl (0.000, 0.000, 0.000)
Ca (0.500, 0.000, 0.000)

Summary:
* symmetry: P4/mmm (123)
* energy of formation: 4.89 kcal/mol of atoms



Entry 3:
The following is a PBE calculation of an optimized crystal structure of LaNdSbAu, from Alexandria.

Cell: 5.423 5.423 5.423 Å, 60.00 60.00 60.00°
Positions (direct):
Sb (0.500, 0.500, 0.500)
La (0.750, 0.750, 0.750)
Au (0.000, 0.000, 0.000)
Nd (0.250, 0.250, 0.250)

Summary:
* symmetry: F-43m (216)



| no. | total energy (eV per atom) |
| --- | --- |
| 1 | -9.356 |
| 2 | -2.314 |
| 3 | -5.123 |